## AlRhS3 (GGA-PBE)

Data for a relaxed structure of AlRhS3.

abc: 4.641 4.641 4.641
angles: 90.00 90.00 90.00
Element x y z (fractional)
Al 0.000 0.000 0.000
Rh 0.500 0.500 0.500
S 0.000 0.500 0.500
S 0.500 0.000 0.500
S 0.500 0.500 0.000

Properties
volume	100.0	Å³/cell
space group	No. 221
energy relative to the elements, uncorrected	1.902	eV/f.u.